1.
Nd2ZnCu3Ge4 PBE relaxed; symmetry = P-4m2, No. 115; calculated total energy = -4.663 eV per atom; energy of formation from the pure elements = -48.85 kJ/mol of atoms
1.0
-2.152 0.838 3.532
-0.476 -4.136 0.691
8.737 -0.112 5.350
Zn Ge Cu Nd
1 4 3 2
direct
0.500 0.500 0.500
0.500 0.500 0.000
0.000 0.500 0.362
0.000 0.000 0.000
0.500 0.000 0.638
0.000 0.000 0.500
0.000 0.500 0.128
0.500 0.000 0.872
0.000 0.500 0.750
0.500 0.000 0.250

2.
Nd2Zn3CuGe4 PBE relaxed; symmetry = P-4m2, No. 115; calculated total energy = -4.006 eV per atom; energy of formation from the pure elements = -39.87 kJ/mol of atoms
1.0
-2.253 -0.883 -3.584
-3.227 -1.567 2.415
-4.278 9.388 0.377
Zn Nd Cu Ge
3 2 1 4
direct
0.500 0.000 0.866
0.000 0.000 0.500
0.000 0.500 0.134
0.000 0.500 0.748
0.500 0.000 0.252
0.500 0.500 0.500
0.000 0.000 0.000
0.500 0.000 0.631
0.000 0.500 0.369
0.500 0.500 0.000

3.
NdZnCuGe2 PBE relaxed; symmetry = I-4m2, No. 119; calculated total energy = -4.338 eV per atom; energy of formation from the pure elements = -44.76 kJ/mol of atoms
1.0
4.168 0.000 0.000
0.000 4.168 0.000
-2.084 -2.084 5.386
Nd Zn Ge Cu
1 1 2 1
direct
0.000 0.000 0.000
0.750 0.250 0.500
0.382 0.382 0.764
0.618 0.618 0.236
0.250 0.750 0.500

4.
CuNi9Ge2 PBE relaxed; symmetry = P4/mmm, No. 123; calculated total energy = -5.607 eV per atom; energy of formation from the pure elements = -15.43 kJ/mol of atoms
1.0
-2.993 -1.069 1.625
0.818 -3.397 -0.728
5.279 -0.712 9.253
Ni Ge Cu
9 2 1
direct
0.500 0.500 0.666
0.500 0.000 0.165
0.000 0.500 0.165
0.500 0.000 0.500
0.500 0.000 0.835
0.000 0.500 0.500
0.500 0.500 0.334
0.500 0.500 0.000
0.000 0.500 0.835
0.000 0.000 0.670
0.000 0.000 0.330
0.000 0.000 0.000

Which of these has the highest energy of formation from the pure elements?
CuNi9Ge2

Which formula does entry 1 have?
Nd2ZnCu3Ge4

What did the third record say?
NdZnCuGe2 PBE relaxed; symmetry = I-4m2, No. 119; calculated total energy = -4.338 eV per atom; energy of formation from the pure elements = -44.76 kJ/mol of atoms
1.0
4.168 0.000 0.000
0.000 4.168 0.000
-2.084 -2.084 5.386
Nd Zn Ge Cu
1 1 2 1
direct
0.000 0.000 0.000
0.750 0.250 0.500
0.382 0.382 0.764
0.618 0.618 0.236
0.250 0.750 0.500

Look up the calculated total energy of the fourth one.
-5.607 eV per atom